(1)
## ReNiB3 (GGA-PBE)

Data for crystalline ReNiB3 at its relaxed geometry.

The formation energy comes out at 1.343 eV/atom. As for the excess energy over the best structure of this formula in the dataset: 34.4 meV per atom.

It has space group Pm-3m (No. 221), with a = 3.6887 Å, b = 3.6887 Å, c = 3.6887 Å, α = 90.00°, β = 90.00° and γ = 90.00°. The asymmetric unit holds Re at (0.0000, 0.0000, 0.0000), Ni at (0.5000, 0.5000, 0.5000) and B at (0.0000, 0.5000, 0.5000).

---

(2)
## Zn3SnSe (GGA-PBE)

Data for crystalline Zn3SnSe at its relaxed geometry.

The formation energy without anion corrections is 418.0 meV/atom. As for the excess energy over the best structure of this formula in the dataset: 23.4 meV per atom.

It has space group Pm-3m (No. 221), with a = 5.0979 Å, b = 5.0979 Å, c = 5.0979 Å, α = 90.00°, β = 90.00° and γ = 90.00°. The asymmetric unit holds Zn at (0.0000, 0.0000, 0.5000), Sn at (0.0000, 0.0000, 0.0000) and Se at (0.5000, 0.5000, 0.5000).

---

(3)
## Tb3Dy2TmTe6 (GGA-PBE)

Data for crystalline Tb3Dy2TmTe6 at its relaxed geometry.

The formation energy without anion corrections is -1276.7 meV/atom.

It has space group C2/m (No. 12), with a = 18.9727 Å, b = 4.3279 Å, c = 8.7571 Å, α = 90.00°, β = 103.31° and γ = 90.00°. The asymmetric unit holds Tb at (0.0000, 0.0000, 0.0000), Tb at (0.1692, 0.5000, 0.3329), Dy at (0.1683, 0.5000, 0.8349), Tm at (0.0000, 0.0000, 0.5000), Te at (0.0001, 0.5000, 0.2547), Te at (0.1639, 0.0000, 0.5825) and Te at (0.1662, 0.0000, 0.0817).

---

(4)
## LiLa2Si3Au12 (GGA-PBE)

Data for crystalline LiLa2Si3Au12 at its relaxed geometry.

The formation energy without anion corrections is -203.8 meV/atom.

It has space group R-3m (No. 166, hexagonal axes), with a = 8.9729 Å, b = 8.9729 Å, c = 17.6917 Å, α = 90.00°, β = 90.00° and γ = 120.00°. The asymmetric unit holds Li at (0.0000, 0.0000, 0.0000), La at (0.0000, 0.0000, 0.3908), Si at (0.0000, 0.5000, 0.5000), Au at (0.0032, 0.5016, 0.3617) and Au at (0.0274, 0.5137, 0.8238).

---

(5)
## YIF3 (GGA-PBE)

Data for crystalline YIF3 at its relaxed geometry.

The formation energy without anion corrections is -855.5 meV/atom. As for the excess energy over the best structure of this formula in the dataset: 2024.1 meV per atom.

It has space group Pm-3m (No. 221), with a = 4.8295 Å, b = 4.8295 Å, c = 4.8295 Å, α = 90.00°, β = 90.00° and γ = 90.00°. The asymmetric unit holds Y at (0.0000, 0.0000, 0.0000), I at (0.5000, 0.5000, 0.5000) and F at (0.0000, 0.5000, 0.5000).

---

(6)
## SmYOsO6 (GGA-PBE)

Data for crystalline SmYOsO6 at its relaxed geometry.

The formation energy without anion corrections is -2316.7 meV/atom.

It has space group P-31c (No. 163), with a = 5.5809 Å, b = 5.5809 Å, c = 9.4018 Å, α = 90.00°, β = 90.00° and γ = 120.00°. The asymmetric unit holds Sm at (0.3333, 0.6667, 0.2500), Y at (0.0000, 0.0000, 0.0000), Os at (0.3333, 0.6667, 0.7500) and O at (0.0520, 0.3719, 0.6329).

---

(7)
## ErUFe (GGA-PBE)

Data for crystalline ErUFe at its relaxed geometry.

The formation energy comes out at 0.159 eV/atom. As for the excess energy over the best structure of this formula in the dataset: 94.2 meV per atom.

It has space group P3m1 (No. 156), with a = 3.4643 Å, b = 3.4643 Å, c = 6.1071 Å, α = 90.00°, β = 90.00° and γ = 120.00°. The asymmetric unit holds Er at (0.0000, 0.0000, 0.0000), U at (0.6667, 0.3333, 0.4459) and Fe at (0.3333, 0.6667, 0.6605).

---

(8)
## Pm6AsIr2Br3 (GGA-PBE)

Data for crystalline Pm6AsIr2Br3 at its relaxed geometry.

The formation energy without anion corrections is -1190.6 meV/atom.

It has space group C2/m (No. 12), with a = 7.2909 Å, b = 12.6216 Å, c = 7.9766 Å, α = 90.00°, β = 107.59° and γ = 90.00°. The asymmetric unit holds Pm at (0.2166, 0.0000, 0.1982), Pm at (0.2406, 0.3255, 0.1985), As at (0.0000, 0.5000, 0.0000), Ir at (0.0000, 0.1670, 0.0000), Br at (0.0000, 0.0000, 0.5000) and Br at (0.0000, 0.3378, 0.5000).

---

(9)
## ZnNi4AsH (GGA-PBE)

Data for crystalline ZnNi4AsH at its relaxed geometry.

It has space group Cmcm (No. 63), with a = 5.0250 Å, b = 12.1880 Å, c = 5.0603 Å, α = 90.00°, β = 90.00° and γ = 90.00°. The asymmetric unit holds Zn at (0.0000, 0.1023, 0.2500), Ni at (0.0000, 0.0942, 0.7500), Ni at (0.0000, 0.4200, 0.7500), Ni at (0.2500, 0.2500, 0.0000), As at (0.0000, 0.3895, 0.2500) and H at (0.0000, 0.2467, 0.7500).

---

(10)
## CrGeAsBr2 (GGA-PBE)

Data for crystalline CrGeAsBr2 at its relaxed geometry.

The formation energy without anion corrections is 253.2 meV/atom. As for the excess energy over the best structure of this formula in the dataset: 0.0 meV per atom.

It has space group P4/mmm (No. 123), with a = 4.9457 Å, b = 4.9457 Å, c = 5.1068 Å, α = 90.00°, β = 90.00° and γ = 90.00°. The asymmetric unit holds Cr at (0.0000, 0.0000, 0.0000), Ge at (0.5000, 0.5000, 0.5000), As at (0.0000, 0.0000, 0.5000) and Br at (0.0000, 0.5000, 0.0000).

---

(11)
## DyHo6Sc6 (GGA-PBE)

Data for crystalline DyHo6Sc6 at its relaxed geometry.

The formation energy comes out at 0.228 eV/atom.

It has space group P6/mmm (No. 191), with a = 6.3875 Å, b = 6.3875 Å, c = 10.8260 Å, α = 90.00°, β = 90.00° and γ = 120.00°. The asymmetric unit holds Dy at (0.0000, 0.0000, 0.0000), Ho at (0.0000, 0.0000, 0.3391), Ho at (0.3333, 0.6667, 0.0000), Ho at (0.3333, 0.6667, 0.5000) and Sc at (0.0000, 0.5000, 0.2415).

---

(12)
## Rb2NaPd (GGA-PBE)

Data for crystalline Rb2NaPd at its relaxed geometry.

The formation energy comes out at 0.123 eV/atom.

It has space group I-42d (No. 122), with a = 12.4286 Å, b = 12.4286 Å, c = 5.6424 Å, α = 90.00°, β = 90.00° and γ = 90.00°. The asymmetric unit holds Rb at (0.0874, 0.2500, 0.1250), Na at (0.0000, 0.0000, 0.5000) and Pd at (0.0000, 0.0000, 0.0000).

---

no.,theoretical density (g cm⁻³),raw total energy (eV per cell)
1,9.18,-31.54
2,4.94,-9.22
3,8.24,-123.47
4,11.04,-213.10
5,4.02,-17.91
6,6.88,-146.03
7,12.06,-23.84
8,7.45,-140.36
9,8.06,-132.66
10,4.78,-20.97
11,6.17,-67.10
12,2.29,-31.82